# Sc5Cl8 meta-GGA SCAN PBEsol geometry
data_Sc5Cl8
_space_group_name_H-M_alt 'C 1 2/m 1'
_space_group_IT_number 12
_cell_length_a 18.427
_cell_length_b 3.507
_cell_length_c 12.926
_cell_angle_alpha 90.00
_cell_angle_beta 133.83
_cell_angle_gamma 90.00
loop_
_space_group_symop_operation_xyz
'x,y,z'
'-x,-y,-z'
'-x,y,-z'
'x,-y,z'
'x+1/2,y+1/2,z'
'-x+1/2,-y+1/2,-z'
'-x+1/2,y+1/2,-z'
'x+1/2,-y+1/2,z'
loop_
_atom_site_label
_atom_site_type_symbol
_atom_site_fract_x
_atom_site_fract_y
_atom_site_fract_z
Sc1 Sc 0.000 0.000 0.000
Sc2 Sc 0.003 0.500 0.626
Sc3 Sc 0.166 0.000 0.659
Cl1 Cl 0.010 0.500 0.873
Cl2 Cl 0.125 0.000 0.434
Cl3 Cl 0.135 0.000 0.815
Cl4 Cl 0.193 0.000 0.205
# **N(E_F)**: 6.497 states/eV per cell
# **Crystal system**: monoclinic
# **Total magnetization**: 0.00 μB per formula unit
# **Formation energy from raw total energies**: -1.993 eV/atom